# 1
Sc2TlFe PBE-GGA optimized geometry; density of states at the Fermi level = 0.82 states/eV/atom; VASP energy = -23.43 eV for the cell shown; space-group type = I-4m2
1.0
-2.092 2.092 4.531
2.092 -2.092 4.531
2.092 2.092 -4.531
Sc Tl Fe
2 1 1
Cartesian
0.000 0.000 0.000
0.000 2.092 2.266
2.092 0.000 2.266
0.000 0.000 4.531

=====

# 2
Hf3Ga2Fe PBE-GGA optimized geometry; density of states at the Fermi level = 0.65 states/eV/atom; VASP energy = -186.37 eV for the cell shown; space-group type = Pnma
1.0
10.928 0.000 0.000
0.000 4.111 0.000
0.000 0.000 9.603
Hf Ga Fe
12 8 4
Cartesian
0.515 1.028 1.415
1.661 3.083 5.643
2.565 1.028 7.770
2.899 3.083 2.969
3.803 1.028 0.841
4.949 3.083 6.216
5.979 1.028 3.386
7.124 3.083 8.762
8.029 1.028 6.634
8.363 3.083 1.832
9.267 1.028 3.960
10.412 3.083 8.188
0.036 3.083 3.299
1.896 3.083 0.117
3.568 1.028 4.918
5.428 1.028 8.101
5.500 3.083 1.502
7.360 3.083 4.685
9.032 1.028 9.486
10.891 1.028 6.303
1.371 1.028 3.786
4.093 3.083 8.587
6.835 1.028 1.016
9.557 3.083 5.817